(1)
Material: Hf4Zr2As3C3
Method: DFT, PBE
State: optimized geometry

Computed properties:
Electronic total energy: -9.184 eV per atom

a b c (Å): 10.3435 5.9720 13.0171
angles (deg): 90.00 105.36 90.00
Space group C2/c (No. 15)
Inequivalent atoms, fractional coordinates:
Hf 0.1159 0.0843 0.0980 x8
Hf 0.2177 0.0831 0.4020 x8
Zr 0.0494 0.4168 0.8994 x8
As 0.0000 0.0784 0.7500 x4
As 0.1691 0.4149 0.2504 x8
C 0.0851 0.2448 0.5000 x8
C 0.2500 0.2500 0.0000 x4



(2)
Material: ZnNiCl6
Method: DFT, PBE
State: optimized geometry

Computed properties:
Electronic total energy: -2.717 eV per atom

a b c (Å): 5.9100 5.9100 15.9691
angles (deg): 90.00 90.00 120.00
Space group R-3 (No. 148, hexagonal axes)
Inequivalent atoms, fractional coordinates:
Zn 0.0000 0.0000 0.0000 x3
Ni 0.0000 0.0000 0.5000 x3
Cl 0.0035 0.6889 0.4195 x18



(3)
Material: HfReSi
Method: DFT, PBE
State: optimized geometry

Computed properties:
Electronic total energy: -9.260 eV per atom

a b c (Å): 5.9842 5.9842 5.9842
angles (deg): 90.00 90.00 90.00
Space group F-43m (No. 216)
Inequivalent atoms, fractional coordinates:
Hf 0.0000 0.0000 0.0000 x4
Re 0.0000 0.0000 0.5000 x4
Si 0.2500 0.2500 0.2500 x4



(4)
Material: PrSnB4
Method: DFT, PBE
State: optimized geometry

Computed properties:
Energy above the most stable polymorph in this dataset: 0.90 eV per formula unit
Electronic total energy: -5.719 eV per atom

a b c (Å): 3.2424 3.2424 8.3516
angles (deg): 90.00 90.00 120.00
Space group P6/mmm (No. 191)
Inequivalent atoms, fractional coordinates:
Pr 0.0000 0.0000 0.0000 x1
Sn 0.0000 0.0000 0.5000 x1
B 0.3333 0.6667 0.2551 x4



(5)
Material: PmNbCo
Method: DFT, PBE
State: optimized geometry

Computed properties:
Energy of formation: 1.39 eV/f.u.
Energy above the most stable polymorph in this dataset: 0.00 eV per formula unit
Electronic total energy: -6.853 eV per atom

a b c (Å): 6.3490 6.3490 6.3490
angles (deg): 90.00 90.00 90.00
Space group F-43m (No. 216)
Inequivalent atoms, fractional coordinates:
Pm 0.0000 0.0000 0.0000 x4
Nb 0.0000 0.0000 0.5000 x4
Co 0.2500 0.2500 0.7500 x4



(6)
Material: Co2Si2PdPt
Method: DFT, PBE
State: optimized geometry

Computed properties:
Electronic total energy: -6.601 eV per atom

a b c (Å): 3.5701 3.5701 6.0273
angles (deg): 90.00 90.00 90.00
Space group P4mm (No. 99)
Inequivalent atoms, fractional coordinates:
Co 0.0000 0.5000 0.0000 x2
Si 0.0000 0.0000 0.2348 x1
Si 0.5000 0.5000 0.7658 x1
Pd 0.5000 0.5000 0.3691 x1
Pt 0.0000 0.0000 0.6336 x1



(7)
Material: BeNb5
Method: DFT, PBE
State: optimized geometry

Computed properties:
Electronic total energy: -8.193 eV per atom

a b c (Å): 5.5088 5.5088 4.5443
angles (deg): 90.00 90.00 120.00
Space group P6/mmm (No. 191)
Inequivalent atoms, fractional coordinates:
Be 0.0000 0.0000 0.0000 x1
Nb 0.0000 0.5000 0.5000 x3
Nb 0.3333 0.6667 0.0000 x2



(8)
Material: AcFeIr
Method: DFT, PBE
State: optimized geometry

Computed properties:
Energy of formation: 0.72 eV/f.u.
Energy above the most stable polymorph in this dataset: 0.00 eV per formula unit
Electronic total energy: -6.849 eV per atom

a b c (Å): 6.4595 6.4595 6.4595
angles (deg): 90.00 90.00 90.00
Space group F-43m (No. 216)
Inequivalent atoms, fractional coordinates:
Ac 0.0000 0.0000 0.0000 x4
Fe 0.2500 0.2500 0.2500 x4
Ir 0.0000 0.0000 0.5000 x4



(9)
Material: TbTmGe2Au2
Method: DFT, PBE
State: optimized geometry

Computed properties:
Electronic total energy: -4.971 eV per atom

a b c (Å): 4.4688 4.4688 7.2819
angles (deg): 90.00 90.00 120.00
Space group P3m1 (No. 156)
Inequivalent atoms, fractional coordinates:
Tb 0.0000 0.0000 0.0000 x1
Tm 0.0000 0.0000 0.4991 x1
Ge 0.3333 0.6667 0.2093 x1
Ge 0.6667 0.3333 0.7044 x1
Au 0.3333 0.6667 0.7858 x1
Au 0.6667 0.3333 0.2993 x1



(10)
Material: ReS
Method: DFT, PBE
State: optimized geometry

Computed properties:
Energy above the most stable polymorph in this dataset: 1.33 eV per formula unit
Electronic total energy: -7.247 eV per atom

a b c (Å): 4.9202 4.9202 4.9202
angles (deg): 90.00 90.00 90.00
Space group Fm-3m (No. 225)
Inequivalent atoms, fractional coordinates:
Re 0.0000 0.0000 0.0000 x4
S 0.0000 0.0000 0.5000 x4



(11)
Material: SmTmC2Br2
Method: DFT, PBE
State: optimized geometry

Computed properties:
Electronic total energy: -6.223 eV per atom

a b c (Å): 7.0999 3.8001 10.9996
angles (deg): 90.00 94.50 90.00
Space group Cm (No. 8)
Inequivalent atoms, fractional coordinates:
Sm 0.0000 0.0000 0.0000 x2
Tm 0.2098 0.5000 0.7358 x2
C 0.2801 0.0000 0.8927 x2
C 0.4298 0.0000 0.8271 x2
Br 0.0360 0.0000 0.5684 x2
Br 0.1810 0.5000 0.1770 x2



(12)
Material: TmTaCu
Method: DFT, PBE
State: optimized geometry

Computed properties:
Energy of formation: 4.36 eV/f.u.
Electronic total energy: -5.228 eV per atom

a b c (Å): 6.4983 6.4983 6.4983
angles (deg): 90.00 90.00 90.00
Space group F-43m (No. 216)
Inequivalent atoms, fractional coordinates:
Tm 0.0000 0.0000 0.0000 x4
Ta 0.2500 0.2500 0.2500 x4
Cu 0.2500 0.2500 0.7500 x4



(13)
Material: TmPbAuS3
Method: DFT, PBE
State: optimized geometry

Computed properties:
Energy above the most stable polymorph in this dataset: 0.55 eV per formula unit
Electronic total energy: -4.926 eV per atom

a b c (Å): 17.4452 3.8970 8.2554
angles (deg): 90.00 102.43 90.00
Space group C2/m (No. 12)
Inequivalent atoms, fractional coordinates:
Tm 0.1635 0.0000 0.0885 x4
Pb 0.1322 0.0000 0.5800 x4
Au 0.0404 0.5000 0.2210 x4
S 0.0000 0.0000 0.0000 x2
S 0.0000 0.5000 0.5000 x2
S 0.1756 0.5000 0.8654 x4
S 0.1872 0.5000 0.3248 x4



(14)
Material: Sc4CoCuC2
Method: DFT, PBE
State: optimized geometry

Computed properties:
Electronic total energy: -7.056 eV per atom

a b c (Å): 3.3167 3.3167 12.9376
angles (deg): 90.00 90.00 120.00
Space group P-6m2 (No. 187)
Inequivalent atoms, fractional coordinates:
Sc 0.0000 0.0000 0.1474 x2
Sc 0.3333 0.6667 0.3381 x2
Co 0.3333 0.6667 0.0000 x1
Cu 0.0000 0.0000 0.5000 x1
C 0.6667 0.3333 0.2491 x2



(15)
Material: Pm4NiI5
Method: DFT, PBE
State: optimized geometry

Computed properties:
Electronic total energy: -4.313 eV per atom

a b c (Å): 19.5989 4.1533 9.0485
angles (deg): 90.00 102.78 90.00
Space group C2/m (No. 12)
Inequivalent atoms, fractional coordinates:
Pm 0.9996 0.0000 0.2033 x4
Pm 0.1441 0.5000 0.0751 x4
Ni 0.0000 0.5000 0.0000 x2
I 0.0000 0.5000 0.5000 x2
I 0.1670 0.0000 0.3471 x4
I 0.1754 0.0000 0.8253 x4



(16)
Material: PmCdTe
Method: DFT, PBE
State: optimized geometry

Computed properties:
Energy above the most stable polymorph in this dataset: 0.30 eV per formula unit
Electronic total energy: -3.323 eV per atom

a b c (Å): 7.3826 7.3826 7.3826
angles (deg): 90.00 90.00 90.00
Space group F-43m (No. 216)
Inequivalent atoms, fractional coordinates:
Pm 0.0000 0.0000 0.0000 x4
Cd 0.0000 0.0000 0.5000 x4
Te 0.2500 0.2500 0.7500 x4



(17)
Material: RbNbAgAu
Method: DFT, PBE
State: optimized geometry

Computed properties:
Energy above the most stable polymorph in this dataset: 0.25 eV per formula unit
Electronic total energy: -3.337 eV per atom

a b c (Å): 6.9592 6.9592 6.9592
angles (deg): 90.00 90.00 90.00
Space group F-43m (No. 216)
Inequivalent atoms, fractional coordinates:
Rb 0.0000 0.0000 0.0000 x4
Nb 0.2500 0.2500 0.2500 x4
Ag 0.2500 0.2500 0.7500 x4
Au 0.0000 0.0000 0.5000 x4



(18)
Material: Lu4BiC2S
Method: DFT, PBE
State: optimized geometry

Computed properties:
Electronic total energy: -6.574 eV per atom

a b c (Å): 3.6009 3.6009 13.8621
angles (deg): 90.00 90.00 120.00
Space group P-6m2 (No. 187)
Inequivalent atoms, fractional coordinates:
Lu 0.0000 0.0000 0.1321 x2
Lu 0.3333 0.6667 0.3158 x2
Bi 0.0000 0.0000 0.5000 x1
C 0.6667 0.3333 0.2277 x2
S 0.3333 0.6667 0.0000 x1



(19)
Material: LuBeReMo
Method: DFT, PBE
State: optimized geometry

Computed properties:
Energy above the most stable polymorph in this dataset: 0.10 eV per formula unit
Electronic total energy: -7.746 eV per atom

a b c (Å): 6.3539 6.3539 6.3539
angles (deg): 90.00 90.00 90.00
Space group F-43m (No. 216)
Inequivalent atoms, fractional coordinates:
Lu 0.0000 0.0000 0.0000 x4
Be 0.2500 0.2500 0.7500 x4
Re 0.2500 0.2500 0.2500 x4
Mo 0.0000 0.0000 0.5000 x4



(20)
Material: HfMgCoB
Method: DFT, PBE
State: optimized geometry

Computed properties:
Energy above the most stable polymorph in this dataset: 0.92 eV per formula unit
Electronic total energy: -5.995 eV per atom

a b c (Å): 5.9226 5.9226 5.9226
angles (deg): 90.00 90.00 90.00
Space group F-43m (No. 216)
Inequivalent atoms, fractional coordinates:
Hf 0.0000 0.0000 0.0000 x4
Mg 0.2500 0.2500 0.2500 x4
Co 0.2500 0.2500 0.7500 x4
B 0.0000 0.0000 0.5000 x4



(21)
Material: TbHo2Cd3AgAu2
Method: DFT, PBE
State: optimized geometry

Computed properties:
Energy of formation: -5.23 eV/f.u.
Electronic total energy: -3.450 eV per atom

a b c (Å): 3.8303 13.6213 7.8601
angles (deg): 90.00 90.00 90.00
Space group Amm2 (No. 38)
Inequivalent atoms, fractional coordinates:
Tb 0.0000 0.0000 0.0000 x2
Ho 0.0000 0.2043 0.6127 x4
Cd 0.5000 0.0000 0.6711 x2
Cd 0.5000 0.1314 0.2772 x4
Ag 0.0000 0.0000 0.4086 x2
Au 0.5000 0.1668 0.9084 x4



(22)
Material: Pr4CIF4
Method: DFT, PBE
State: optimized geometry

Computed properties:
Electronic total energy: -6.066 eV per atom

a b c (Å): 14.1427 3.8558 8.7836
angles (deg): 90.00 124.75 90.00
Space group C2/m (No. 12)
Inequivalent atoms, fractional coordinates:
Pr 0.0296 0.0000 0.3370 x4
Pr 0.2091 0.5000 0.7459 x4
C 0.0000 0.5000 0.5000 x2
I 0.0000 0.5000 0.0000 x2
F 0.1834 0.0000 0.8958 x4
F 0.2371 0.0000 0.6025 x4



(23)
Material: LuGaHgTe3
Method: DFT, PBE
State: optimized geometry

Computed properties:
Electronic total energy: -3.549 eV per atom

a b c (Å): 4.2173 16.9229 11.5744
angles (deg): 90.00 90.00 90.00
Space group Cmcm (No. 63)
Inequivalent atoms, fractional coordinates:
Lu 0.0000 0.0000 0.0000 x4
Ga 0.0000 0.4556 0.2500 x4
Hg 0.0000 0.2594 0.7500 x4
Te 0.0000 0.0627 0.2500 x4
Te 0.0000 0.3760 0.0555 x8



(24)
Material: DyHoGa4Au2
Method: DFT, PBE
State: optimized geometry

Computed properties:
Electronic total energy: -4.136 eV per atom

a b c (Å): 6.6534 4.5035 10.3444
angles (deg): 90.00 90.00 90.00
Space group Amm2 (No. 38)
Inequivalent atoms, fractional coordinates:
Dy 0.0000 0.0000 0.0000 x2
Ho 0.5000 0.0000 0.1837 x2
Ga 0.2000 0.0000 0.7116 x4
Ga 0.3001 0.0000 0.4720 x4
Au 0.0000 0.0000 0.2922 x2
Au 0.5000 0.0000 0.8914 x2



(25)
Material: Lu4Sc2Pb3N3
Method: DFT, PBE
State: optimized geometry

Computed properties:
Electronic total energy: -6.702 eV per atom

a b c (Å): 10.2702 5.9274 15.3716
angles (deg): 90.00 102.88 90.00
Space group C2/c (No. 15)
Inequivalent atoms, fractional coordinates:
Lu 0.1112 0.0840 0.0833 x8
Lu 0.2224 0.0831 0.4167 x8
Sc 0.0566 0.4170 0.9214 x8
Pb 0.0000 0.0925 0.7500 x4
Pb 0.1614 0.4230 0.2500 x8
N 0.0827 0.2519 0.5000 x8
N 0.2500 0.2500 0.0000 x4